P2IrOs: optimized geometry, PBE.

a b c (Å): 2.852 3.981 5.036
angles (deg): 90.00 90.00 90.00
Fractional coordinates of all 4 atoms:
P  0.000  0.000  0.000
P  0.500  0.000  0.500
Ir  0.000  0.500  0.500
Os  0.500  0.500  0.000

Size of the total moment ... 0.0 μB/f.u.
DFT formation energy ... 465 meV/atom
Energy above the lowest structure with this stoichiometry ... 768.7 meV per atom